Record 1
# Sr3Ga2P4

A PBEsol-optimized structure of Sr3Ga2P4 (SCAN, Alexandria).

a b c (Å): 8.278 8.278 6.583
angles (deg): 90.09 90.09 75.54
Sites, in units of the cell vectors:
Sr 0.100 0.900 0.750
Sr 0.249 0.505 0.461
Sr 0.495 0.751 0.039
Sr 0.505 0.249 0.961
Sr 0.751 0.495 0.539
Sr 0.900 0.100 0.250
Ga 0.083 0.325 0.917
Ga 0.325 0.083 0.417
Ga 0.675 0.917 0.583
Ga 0.917 0.675 0.083
P 0.074 0.241 0.573
P 0.206 0.558 0.976
P 0.241 0.074 0.073
P 0.442 0.794 0.524
P 0.558 0.206 0.476
P 0.759 0.926 0.927
P 0.794 0.442 0.024
P 0.926 0.759 0.427

Output
The formation enthalpy at 0 K is -1.01 eV/atom.



Record 2
# SrY2GaP

A PBEsol-optimized structure of SrY2GaP (SCAN, Alexandria).

a b c (Å): 5.301 5.301 5.634
angles (deg): 90.00 90.00 90.00
Sites, in units of the cell vectors:
Sr 0.000 0.000 0.000
Y 0.000 0.500 0.500
Y 0.500 0.000 0.500
Ga 0.000 0.000 0.500
P 0.500 0.500 0.000

Output
The formation enthalpy at 0 K is -0.07 eV/atom.



Record 3
# Ga2TeP2

A PBEsol-optimized structure of Ga2TeP2 (SCAN, Alexandria).

a b c (Å): 4.513 4.513 9.238
angles (deg): 90.00 90.00 90.00
Sites, in units of the cell vectors:
Ga 0.000 0.000 0.133
Ga 0.000 0.000 0.867
Ga 0.500 0.500 0.367
Ga 0.500 0.500 0.633
Te 0.000 0.000 0.500
Te 0.500 0.500 0.000
P 0.000 0.500 0.250
P 0.000 0.500 0.750
P 0.500 0.000 0.250
P 0.500 0.000 0.750

Output
The calculation puts the uncorrected formation energy at 35 kJ/mol of atoms.



Number 1: E_tot -16.6904 eV/atom, calculated volume 436.81 Å³/cell. Number 2: E_tot -21.0111 eV/atom, calculated volume 158.32 Å³/cell. Number 3: E_tot -17.7879 eV/atom, calculated volume 188.15 Å³/cell.